## i
## FeCoSe2 (PBE-GGA)

Data for crystalline FeCoSe2 at its relaxed geometry.

It has space group P2/m (No. 10), with a = 4.846 Å, b = 3.218 Å, c = 5.336 Å, α = 90.00°, β = 90.67° and γ = 90.00°. Symmetry generates all atoms from Fe at (0.000, 0.000, 0.000), Co at (0.500, 0.000, 0.000) and Se at (0.262, 0.500, 0.756).

## ii
## FeCoSe2 (PBE-GGA)

Data for crystalline FeCoSe2 at its relaxed geometry.

It has space group P-4m2 (No. 115), with a = 3.678 Å, b = 3.678 Å, c = 5.831 Å, α = 90.00°, β = 90.00° and γ = 90.00°. Symmetry generates all atoms from Fe at (0.000, 0.000, 0.000), Co at (0.500, 0.500, 0.000) and Se at (0.000, 0.500, 0.762).

On energetic grounds, ii is preferred over the next structure by 32.9 kJ/mol of atoms.